# PBE Mg2ScPbO, optimized geometry
data_Mg2ScPbO
_space_group_name_H-M_alt 'P 1'
_space_group_IT_number 1
_space_group_name_Hall 'P 1'
_cell_length_a 4.4783
_cell_length_b 4.4783
_cell_length_c 4.4933
_cell_angle_alpha 90.00
_cell_angle_beta 90.00
_cell_angle_gamma 90.00
loop_
_atom_site_label
_atom_site_type_symbol
_atom_site_fract_x
_atom_site_fract_y
_atom_site_fract_z
Pb1 Pb 0.5000 0.5000 0.5000
Mg1 Mg 0.0000 0.5000 0.0000
Mg2 Mg 0.5000 0.0000 0.0000
Sc1 Sc 0.0000 0.0000 0.5000
O1 O 0.0000 0.0000 0.0000
# Space-group type: P4/mmm
# D(E_F) in states/eV/f.u.: 2.4
# Uncorrected energy in eV per atom: -4.72